#a
A plane-wave DFT calculation with GGA-PBE was carried out for a relaxed structure of SrIr2Pd2.

Properties
Spin magnetization   0.0 μB per cell
Space group   I4/mmm, No. 139

abc: 4.3301 4.3301 6.1801
angles: 69.49 69.49 90.00
With the nearest neighbours (Å) after each atom.
Atoms (fractional coordinates):
Pd  0.2500  0.7500  0.5000  4 Ir 2.65
Ir  0.3924  0.3924  0.2152  1 Ir 2.31
Ir  0.6076  0.6076  0.7848  1 Ir 2.31
Pd  0.7500  0.2500  0.5000  4 Ir 2.65
Sr  0.0000  0.0000  0.0000  8 Ir 3.27, 8 Pd 3.45


#b
A plane-wave DFT calculation with GGA-PBE was carried out for a relaxed structure of SrIr2Pd2.

Properties
Spin magnetization   0.0 μB per cell
Space group   P4/mbm, No. 127

abc: 7.9291 7.9291 2.8574
angles: 90.00 90.00 90.00
With the nearest neighbours (Å) after each atom.
Atoms (fractional coordinates):
Ir  0.3849  0.8849  0.0000  3 Ir 2.58-2.86, 6 Pd 2.67-2.82
Sr  0.0000  0.0000  0.0000  2 Sr 2.86, 4 Ir 3.19
Pd  0.1833  0.6833  0.5000  6 Ir 2.67-2.82, 2 Pd 2.86
Pd  0.6833  0.8167  0.5000  6 Ir 2.67-2.82, 2 Pd 2.86
Sr  0.5000  0.5000  0.0000  2 Sr 2.86, 4 Ir 3.19
Ir  0.6151  0.1151  0.0000  3 Ir 2.58-2.86, 6 Pd 2.67-2.82
Pd  0.8167  0.3167  0.5000  6 Ir 2.67-2.82, 2 Pd 2.86
Pd  0.3167  0.1833  0.5000  6 Ir 2.67-2.82, 2 Pd 2.86
Ir  0.8849  0.6151  0.0000  3 Ir 2.58-2.86, 6 Pd 2.67-2.82
Ir  0.1151  0.3849  0.0000  3 Ir 2.58-2.86, 6 Pd 2.67-2.82


We find #a to be the most stable, with the next structure 6.2 kJ/mol of atoms higher.


#a
A plane-wave DFT calculation with GGA-PBE was carried out for a relaxed structure of SrIr3Pd.

Properties
Spin magnetization   3.4 μB per cell
Space group   Pm-3m, No. 221

abc: 4.8677 4.8677 4.8677
angles: 90.00 90.00 90.00
With the nearest neighbours (Å) after each atom.
Atoms (fractional coordinates):
Ir  0.0000  0.5000  0.0000  2 Pd 2.43
Pd  0.0000  0.0000  0.0000  6 Ir 2.43
Ir  0.0000  0.0000  0.5000  2 Pd 2.43
Ir  0.5000  0.0000  0.0000  2 Pd 2.43
Sr  0.5000  0.5000  0.5000  12 Ir 3.44


#b
A plane-wave DFT calculation with GGA-PBE was carried out for a relaxed structure of SrIr3Pd.

Properties
Spin magnetization   2.8 μB per cell
Space group   Pm-3m, No. 221

abc: 4.9172 4.9172 4.9172
angles: 90.00 90.00 90.00
With the nearest neighbours (Å) after each atom.
Atoms (fractional coordinates):
Sr  0.0000  0.0000  0.0000  6 Ir 2.46
Ir  0.5000  0.0000  0.0000  2 Sr 2.46
Ir  0.0000  0.5000  0.0000  2 Sr 2.46
Ir  0.0000  0.0000  0.5000  2 Sr 2.46
Pd  0.5000  0.5000  0.5000  12 Ir 3.48


We find #a to be the most stable, with the next structure 154.3 kJ/mol of atoms higher.


#a
A plane-wave DFT calculation with GGA-PBE was carried out for a relaxed structure of TaIr3Pd.

Properties
Spin magnetization   0.8 μB per cell
Space group   Pm-3m, No. 221

abc: 4.6462 4.6462 4.6462
angles: 90.00 90.00 90.00
With the nearest neighbours (Å) after each atom.
Atoms (fractional coordinates):
Ir  0.0000  0.5000  0.0000  2 Pd 2.32
Ir  0.0000  0.0000  0.5000  2 Pd 2.32
Ir  0.5000  0.0000  0.0000  2 Pd 2.32
Pd  0.0000  0.0000  0.0000  6 Ir 2.32
Ta  0.5000  0.5000  0.5000  12 Ir 3.29


#b
A plane-wave DFT calculation with GGA-PBE was carried out for a relaxed structure of TaIr3Pd.

Properties
Spin magnetization   0.4 μB per cell
Space group   Pm-3m, No. 221

abc: 4.7450 4.7450 4.7450
angles: 90.00 90.00 90.00
With the nearest neighbours (Å) after each atom.
Atoms (fractional coordinates):
Ta  0.0000  0.0000  0.0000  6 Ir 2.37
Ir  0.5000  0.0000  0.0000  2 Ta 2.37
Ir  0.0000  0.0000  0.5000  2 Ta 2.37
Ir  0.0000  0.5000  0.0000  2 Ta 2.37
Pd  0.5000  0.5000  0.5000  12 Ir 3.36


We find #b to be the most stable, with the next structure 44.2 kJ/mol of atoms higher.